1.
{
  "formula": "CeEuZnCd",
  "functional": "PBE",
  "state": "optimized geometry",
  "magnetic_moment_mub_per_cell": 6.19,
  "ef_mev_per_atom": -185,
  "e_tot_ev_per_atom": -4.78,
  "cell": [[0.000, 3.797, 3.797], [3.797, 0.000, 3.797], [3.797, 3.797, 0.000]],
  "species": ["Ce", "Eu", "Zn", "Cd"],
  "frac_coords": [[0.000, 0.000, 0.000], [0.500, 0.500, 0.500], [0.250, 0.250, 0.250], [0.750, 0.750, 0.750]]
}


2.
{
  "formula": "Ce2CdF8",
  "functional": "PBE",
  "state": "optimized geometry",
  "magnetic_moment_mub_per_cell": 2.00,
  "e_tot_ev_per_atom": -5.99,
  "formation_energy_uncorrected_kj_per_mol_atoms": -334.76,
  "polymorph_energy_mev_per_atom": 0,
  "cell": [[7.486, -1.933, 0.000], [7.486, 1.933, 0.000], [-1.959, 0.000, 5.288]],
  "species": ["Ce", "Ce", "Cd", "F", "F", "F", "F", "F", "F", "F", "F"],
  "frac_coords": [[0.172, 0.172, 0.179], [0.828, 0.828, 0.821], [0.500, 0.500, 0.500], [0.036, 0.036, 0.310], [0.219, 0.219, 0.822], [0.325, 0.325, 0.540], [0.406, 0.406, 0.072], [0.594, 0.594, 0.928], [0.675, 0.675, 0.460], [0.781, 0.781, 0.178], [0.964, 0.964, 0.690]]
}


Q: Number 2 is which compound?
A: Ce2CdF8